This record from Alexandria describes a relaxed K2NdGe2O6 crystal. The functional is PBE.

Summary:
As for the volume: 17.79 Å³/atom. As for the formation energy (no corrections): -1992.4 meV per atom. The value obtained for the total magnetization is 0.90 μB/cell.

abc: 6.1726 6.0954 7.0851
angles: 116.89 90.00 120.42
With the nearest neighbours (Å) after each atom.
Fractional coordinates of all 11 atoms:
Ge1 0.9530 0.9060 0.7873  3 O 1.74-1.76
Ge2 0.0470 0.0940 0.2127  3 O 1.74-1.76
O1 0.2415 0.4830 0.3589  1 Ge 1.74
O2 0.7990 0.0745 0.7690  1 Ge 1.76
O3 0.2010 0.9255 0.2310  1 Ge 1.76
O4 0.7585 0.5170 0.6411  1 Ge 1.74
O5 0.7246 0.9255 0.2310  1 Ge 1.76
O6 0.2754 0.0745 0.7690  1 Ge 1.76
K1 0.2945 0.5891 0.8312  7 O 2.90-3.24
K2 0.7055 0.4109 0.1688  7 O 2.90-3.24
Nd1 0.5000 0.0000 0.5000  6 O 2.35-2.37

This record from Alexandria describes a relaxed Ce3SmPb2 crystal. The functional is PBE.

Summary:
As for the volume: 28.77 Å³/atom. The value obtained for the total magnetization is 2.98 μB/cell. The energy relative to the elements comes out at -0.26 eV per atom.

abc: 4.8692 9.8799 8.3533
angles: 116.66 90.00 104.27
With the nearest neighbours (Å) after each atom.
Fractional coordinates of all 12 atoms:
Sm1 0.8879 0.7757 0.9527  6 Pb 3.36-3.55
Sm2 0.1121 0.2243 0.0473  6 Pb 3.36-3.55
Ce1 0.0687 0.1374 0.4815  3 Ce 2.79-2.90
Ce2 0.3796 0.7593 0.3072  3 Ce 2.77-2.90
Ce3 0.9313 0.8626 0.5185  3 Ce 2.79-2.90
Ce4 0.6204 0.2407 0.6928  3 Ce 2.77-2.90
Ce5 0.7044 0.4087 0.4977  3 Ce 2.77-2.99
Ce6 0.2956 0.5913 0.5023  3 Ce 2.77-2.99
Pb1 0.4781 0.9562 0.7991  1 Pb 3.06, 4 Ce 3.21-3.23
Pb2 0.2523 0.5046 0.8387  7 Ce 3.28-3.53, 2 Sm 3.36, 2 Pb 3.66
Pb3 0.7477 0.4954 0.1613  7 Ce 3.28-3.53, 2 Sm 3.36, 2 Pb 3.66
Pb4 0.5219 0.0438 0.2009  1 Pb 3.06, 4 Ce 3.21-3.23